DFT (PBE with a Hubbard U) results for a relaxed structure of PmErCr2O8.

Cell lengths 6.0396, 6.0396, 6.0396 Å; angles 105.93, 105.93, 116.81 degrees
Atoms (fractional coordinates):
Pm (0.0000, 0.0000, 0.0000)
Er (0.7500, 0.2500, 0.5000)
Cr (0.2500, 0.7500, 0.5000)
Cr (0.5000, 0.5000, 0.0000)
O (0.0732, 0.3935, 0.3203)
O (0.0732, 0.7529, 0.6797)
O (0.1442, 0.3306, 0.8136)
O (0.2471, 0.9268, 0.3203)
O (0.5169, 0.3306, 0.1864)
O (0.6065, 0.9268, 0.6797)
O (0.6694, 0.4831, 0.8136)
O (0.6694, 0.8558, 0.1864)

## Properties
Magnetic moment (μB per formula unit): 2.00
Calculated density (kg/m³): 5396
Calculated total energy (eV/atom): -7.6447